First-principles (GGA-PBE) data for an optimized crystal structure of SrCd5O6, as listed in Alexandria via LeMat-Bulk.

```
12
Lattice="2.9683 -5.1511 0.0000 2.9683 5.1511 0.0000 -1.9517 0.0000 5.5969" Properties=species:S:1:pos:R:3 pbc="T T T"
Sr 0.0000 0.0000 0.0000
Cd 1.9924 3.4012 2.7984
Cd 2.9683 1.7162 0.0000
Cd 1.9924 0.0000 2.7984
Cd 2.9683 -1.7162 0.0000
Cd 1.9924 -3.4012 2.7984
O 1.0510 1.7864 1.4030
O 0.0895 0.0000 4.1190
O 1.0510 -1.7864 1.4030
O 2.9339 1.7864 4.1939
O 3.8953 0.0000 1.4779
O 2.9339 -1.7864 4.1939
```

Results
Total energy   -4.3131 eV/atom



First-principles (GGA-PBE) data for an optimized crystal structure of ZrBi, as listed in Alexandria via LeMat-Bulk.

```
12
Lattice="11.7141 0.0000 0.0000 -5.8570 10.1447 0.0000 0.0000 0.0000 3.1235" Properties=species:S:1:pos:R:3 pbc="T T T"
Zr -1.2319 5.2966 0.7809
Zr -0.6541 8.5632 0.7809
Zr 1.8860 6.4296 0.7809
Zr 3.9711 3.7151 2.3427
Zr 6.5112 1.5815 2.3427
Zr 7.0889 4.8481 2.3427
Bi -3.5067 7.3181 0.7809
Bi 1.2727 3.4487 0.7809
Bi 3.6230 0.6221 2.3427
Bi 2.2340 9.5226 0.7809
Bi 4.5843 6.6960 2.3427
Bi 9.3638 2.8266 2.3427
```

Results
Formation energy   0.0372 eV/atom



First-principles (GGA-PBE) data for an optimized crystal structure of CaAlAg2, as listed in Alexandria via LeMat-Bulk.

```
4
Lattice="3.5385 0.0000 0.0000 0.0000 4.8126 0.0000 0.0000 0.0000 5.3446" Properties=species:S:1:pos:R:3 pbc="T T T"
Ca 0.0000 0.0000 0.0000
Al 1.7693 2.4063 1.5884
Ag 1.7693 0.0000 2.6573
Ag 1.7693 2.4063 4.2550
```

Results
Formation energy   -0.1439 eV/atom



First-principles (GGA-PBE) data for an optimized crystal structure of RbBe2N, as listed in Alexandria via LeMat-Bulk.

```
16
Lattice="5.6779 0.0000 0.0000 0.0000 5.6779 0.0000 0.0000 0.0000 7.8086" Properties=species:S:1:pos:R:3 pbc="T T T"
Rb 0.0000 1.4195 2.9282
Rb 0.0000 4.2585 4.8804
Rb 2.8390 1.4195 0.9761
Rb 2.8390 4.2585 6.8325
Be 0.0000 0.0000 0.0000
Be 0.0000 2.8390 0.0000
Be 1.4195 1.4195 5.8564
Be 1.4195 4.2585 1.9521
Be 2.8390 0.0000 3.9043
Be 2.8390 2.8390 3.9043
Be 4.2585 1.4195 5.8564
Be 4.2585 4.2585 1.9521
N 0.0000 1.4195 6.8325
N 0.0000 4.2585 0.9761
N 2.8390 1.4195 4.8804
N 2.8390 4.2585 2.9282
```

Results
Total energy   -3.8550 eV/atom



| no. | magnetization (μB/f.u.) |
| --- | --- |
| 1 | 0.00 |
| 2 | 0.00 |
| 3 | 0.00 |
| 4 | 0.00 |